Density functional theory data (PBE-GGA) for a relaxed ErBeSb crystal.

a b c (Å): 4.700 4.700 4.700
angles (deg): 60.00 60.00 60.00
Atoms (fractional coordinates):
Sb: 0.000 0.000 0.000
Be: 0.250 0.250 0.250
Er: 0.750 0.750 0.750

Calculated values
As for the symmetry: F-43m, No. 216. The calculation puts the size of the total moment at 0.009 μB/cell. The calculation puts the theoretical density at 6.74 Mg/m³. Its energy above the most stable polymorph in this dataset is 0.082 eV/atom.